[1]
! MgInRu2 GGA-PBE relaxed; values from VASP
&SYSTEM
  ibrav = 0, nat = 4, ntyp = 3
/
ATOMIC_SPECIES
Ru 101.07 Ru.upf
In 114.82 In.upf
Mg 24.30 Mg.upf
CELL_PARAMETERS angstrom
-2.922 3.455 0.146
-4.444 -0.806 0.314
-2.205 0.939 3.841
ATOMIC_POSITIONS crystal
Ru 0.000 0.000 0.000
Ru 0.750 0.750 0.750
In 0.500 0.500 0.500
Mg 0.250 0.250 0.250
! D(E_F)   1.16 states/eV/atom
! V   66 Å³ per cell
! ΔE_f   164 meV per atom
! Total energy   -0.2042 Ha/atom
! Symmetry   F-43m, No. 216



[2]
! MgIn2Ru2 GGA-PBE relaxed; values from VASP
&SYSTEM
  ibrav = 0, nat = 10, ntyp = 3
/
ATOMIC_SPECIES
Ru 101.07 Ru.upf
In 114.82 In.upf
Mg 24.30 Mg.upf
CELL_PARAMETERS angstrom
-1.946 5.776 3.803
-5.941 -3.419 2.154
1.750 -1.266 2.818
ATOMIC_POSITIONS crystal
Ru 0.142 0.358 0.000
Ru 0.858 0.642 0.000
In 0.343 0.157 0.500
In 0.657 0.843 0.500
Mg 0.000 0.000 0.000
Mg 0.500 0.500 0.000
In 0.157 0.657 0.500
In 0.843 0.343 0.500
Ru 0.642 0.142 0.000
Ru 0.358 0.858 0.000
! D(E_F)   0.01 states/eV/atom
! V   183 Å³ per cell
! ΔE_f   21 meV per atom
! Total energy   -0.1876 Ha/atom
! Symmetry   P4/mbm, No. 127



[3]
! Mg6In2Ru GGA-PBE relaxed; values from VASP
&SYSTEM
  ibrav = 0, nat = 9, ntyp = 3
/
ATOMIC_SPECIES
In 114.82 In.upf
Ru 101.07 Ru.upf
Mg 24.30 Mg.upf
CELL_PARAMETERS angstrom
-1.653 1.761 -2.105
-7.011 -2.533 3.384
4.492 6.210 4.053
ATOMIC_POSITIONS crystal
In 0.660 0.662 0.324
Ru 0.000 0.000 0.000
In 0.340 0.338 0.676
Mg 0.843 0.662 0.679
Mg 0.157 0.338 0.321
Mg 0.500 0.275 0.000
Mg 0.843 0.017 0.679
Mg 0.157 0.983 0.321
Mg 0.500 0.725 0.000
! D(E_F)   0.53 states/eV/atom
! V   196 Å³ per cell
! ΔE_f   23 meV per atom
! Total energy   -0.0985 Ha/atom
! Symmetry   C2/m, No. 12



[4]
! MgInRu4 GGA-PBE relaxed; values from VASP
&SYSTEM
  ibrav = 0, nat = 6, ntyp = 3
/
ATOMIC_SPECIES
Ru 101.07 Ru.upf
Mg 24.30 Mg.upf
In 114.82 In.upf
CELL_PARAMETERS angstrom
0.000 3.669 3.669
3.669 0.000 3.669
3.669 3.669 0.000
ATOMIC_POSITIONS crystal
Ru 0.375 0.375 0.875
Mg 0.000 0.000 0.000
Ru 0.875 0.375 0.375
In 0.750 0.750 0.750
Ru 0.375 0.875 0.375
Ru 0.375 0.375 0.375
! D(E_F)   1.32 states/eV/atom
! V   99 Å³ per cell
! ΔE_f   245 meV per atom
! Total energy   -0.2448 Ha/atom
! Symmetry   F-43m, No. 216



[5]
! MgInRu2 GGA-PBE relaxed; values from VASP
&SYSTEM
  ibrav = 0, nat = 4, ntyp = 3
/
ATOMIC_SPECIES
Mg 24.30 Mg.upf
In 114.82 In.upf
Ru 101.07 Ru.upf
CELL_PARAMETERS angstrom
-3.153 4.914 -6.741
-3.010 2.282 -8.079
-5.378 2.988 -6.457
ATOMIC_POSITIONS crystal
Mg 0.750 0.750 0.750
In 0.250 0.250 0.250
Ru 0.500 0.500 0.500
Ru 0.000 0.000 0.000
! D(E_F)   1.07 states/eV/atom
! V   66 Å³ per cell
! ΔE_f   247 meV per atom
! Total energy   -0.2012 Ha/atom
! Symmetry   R-3m, No. 166



[6]
! MgInRu2 GGA-PBE relaxed; values from VASP
&SYSTEM
  ibrav = 0, nat = 8, ntyp = 3
/
ATOMIC_SPECIES
Ru 101.07 Ru.upf
In 114.82 In.upf
Mg 24.30 Mg.upf
CELL_PARAMETERS angstrom
-2.746 -6.500 -1.714
4.351 -0.307 -5.805
2.709 -4.602 -2.267
ATOMIC_POSITIONS crystal
Ru 0.624 0.125 0.250
In 0.000 0.000 0.000
Mg 0.500 0.500 0.000
Ru 0.875 0.874 0.750
Ru 0.375 0.376 0.750
Ru 0.126 0.625 0.250
In 0.750 0.250 0.500
Mg 0.250 0.750 0.500
! D(E_F)   1.48 states/eV/atom
! V   142 Å³ per cell
! ΔE_f   622 meV per atom
! Total energy   -0.1874 Ha/atom
! Symmetry   I-42d, No. 122



[7]
! MgInRu GGA-PBE relaxed; values from VASP
&SYSTEM
  ibrav = 0, nat = 3, ntyp = 3
/
ATOMIC_SPECIES
Mg 24.30 Mg.upf
In 114.82 In.upf
Ru 101.07 Ru.upf
CELL_PARAMETERS angstrom
5.236 -0.035 0.039
4.179 3.154 0.036
1.057 0.352 3.170
ATOMIC_POSITIONS crystal
Mg 0.317 0.317 0.683
In 0.012 0.011 0.988
Ru 0.671 0.671 0.329
! D(E_F)   0.68 states/eV/atom
! V   53 Å³ per cell
! ΔE_f   -38 meV per atom
! Total energy   -0.1681 Ha/atom
! Symmetry   I4mm, No. 107



[8]
! MgInRu2 GGA-PBE relaxed; values from VASP
&SYSTEM
  ibrav = 0, nat = 4, ntyp = 3
/
ATOMIC_SPECIES
Ru 101.07 Ru.upf
In 114.82 In.upf
Mg 24.30 Mg.upf
CELL_PARAMETERS angstrom
4.790 0.045 0.000
1.158 4.648 0.000
-2.974 -2.347 2.931
ATOMIC_POSITIONS crystal
Ru 0.250 0.750 0.500
In 0.500 0.500 0.000
Ru 0.000 0.000 0.000
Mg 0.750 0.250 0.500
! D(E_F)   1.31 states/eV/atom
! V   65 Å³ per cell
! ΔE_f   159 meV per atom
! Total energy   -0.2044 Ha/atom
! Symmetry   I-4m2, No. 119



[9]
! Mg6In3Ru GGA-PBE relaxed; values from VASP
&SYSTEM
  ibrav = 0, nat = 10, ntyp = 3
/
ATOMIC_SPECIES
Mg 24.30 Mg.upf
In 114.82 In.upf
Ru 101.07 Ru.upf
CELL_PARAMETERS angstrom
7.690 -1.235 -0.872
2.715 5.224 0.184
2.715 1.919 4.862
ATOMIC_POSITIONS crystal
Mg 0.679 0.401 0.887
Mg 0.679 0.887 0.401
In 0.316 0.112 0.112
Mg 0.321 0.599 0.113
Ru 0.500 0.500 0.500
In 0.000 0.000 0.000
In 0.684 0.888 0.888
Mg 0.115 0.648 0.648
Mg 0.885 0.352 0.352
Mg 0.321 0.113 0.599
! D(E_F)   0.36 states/eV/atom
! V   216 Å³ per cell
! ΔE_f   37 meV per atom
! Total energy   -0.0981 Ha/atom
! Symmetry   C2/m, No. 12



[10]
! MgInRu2 GGA-PBE relaxed; values from VASP
&SYSTEM
  ibrav = 0, nat = 4, ntyp = 3
/
ATOMIC_SPECIES
Ru 101.07 Ru.upf
In 114.82 In.upf
Mg 24.30 Mg.upf
CELL_PARAMETERS angstrom
4.674 0.007 -0.019
3.760 2.777 -0.019
0.892 0.295 5.105
ATOMIC_POSITIONS crystal
Ru 0.000 0.000 0.969
In 0.250 0.250 0.250
Ru 0.500 0.500 0.531
Mg 0.750 0.750 0.750
! D(E_F)   0.85 states/eV/atom
! V   66 Å³ per cell
! ΔE_f   156 meV per atom
! Total energy   -0.2045 Ha/atom
! Symmetry   C2/m, No. 12



[11]
! MgInRu2 GGA-PBE relaxed; values from VASP
&SYSTEM
  ibrav = 0, nat = 4, ntyp = 3
/
ATOMIC_SPECIES
Ru 101.07 Ru.upf
Mg 24.30 Mg.upf
In 114.82 In.upf
CELL_PARAMETERS angstrom
5.212 0.009 -0.012
2.109 4.766 0.012
-3.081 -3.276 2.634
ATOMIC_POSITIONS crystal
Ru 0.498 0.498 0.000
Mg 0.250 0.750 0.500
In 0.750 0.250 0.500
Ru 0.002 0.002 0.000
! D(E_F)   0.98 states/eV/atom
! V   66 Å³ per cell
! ΔE_f   218 meV per atom
! Total energy   -0.2022 Ha/atom
! Symmetry   Immm, No. 71



[12]
! MgInRu GGA-PBE relaxed; values from VASP
&SYSTEM
  ibrav = 0, nat = 3, ntyp = 3
/
ATOMIC_SPECIES
Ru 101.07 Ru.upf
Mg 24.30 Mg.upf
In 114.82 In.upf
CELL_PARAMETERS angstrom
4.533 0.000 0.000
-2.266 3.926 0.000
0.000 0.000 2.972
ATOMIC_POSITIONS crystal
Ru 0.333 0.667 0.651
Mg 0.667 0.333 0.352
In 0.000 0.000 0.997
! D(E_F)   0.61 states/eV/atom
! V   53 Å³ per cell
! ΔE_f   73 meV per atom
! Total energy   -0.1640 Ha/atom
! Symmetry   P3m1, No. 156



Computed theoretical density, in the same sequence as the records: 8.64, 8.27, 4.03, 9.13, 8.55, 7.96, 7.57, 8.70, 4.54, 8.56, 8.65, 7.54 g cm⁻³.